1.
A plane-wave DFT calculation with PBE was carried out for a relaxed Y2MgNi crystal.

POSCAR file:
```
Y2MgNi
1.0
3.8835 0.0000 0.0000
-1.9417 3.3632 0.0000
0.0000 0.0000 24.7852
Y Mg Ni
6 3 3
Direct
0.0000 0.0000 0.2279
0.0000 0.0000 0.7721
0.3333 0.6667 0.4388
0.3333 0.6667 0.8945
0.6667 0.3333 0.1055
0.6667 0.3333 0.5612
0.0000 0.0000 0.0000
0.3333 0.6667 0.6667
0.6667 0.3333 0.3333
0.0000 0.0000 0.5000
0.3333 0.6667 0.1667
0.6667 0.3333 0.8333
```

Values from the calculation:
The calculation puts the total moment at 0.00 Bohr magnetons per cell. As for the symmetry: No. 166. The density of states at the Fermi level comes out at 0.769 states/eV per atom. The calculated volume comes out at 27.0 Å³/atom. The formation energy is -0.103 eV per atom.

***

2.
A plane-wave DFT calculation with PBE was carried out for a relaxed Y3MgNi crystal.

POSCAR file:
```
Y3MgNi
1.0
5.2801 0.0000 0.0000
0.0000 5.2801 0.0000
0.0000 0.0000 5.2801
Y Mg Ni
3 1 1
Direct
0.0000 0.0000 0.5000
0.0000 0.5000 0.0000
0.5000 0.0000 0.0000
0.5000 0.5000 0.5000
0.0000 0.0000 0.0000
```

Values from the calculation:
The calculation puts the total moment at 0.00 Bohr magnetons per cell. As for the symmetry: No. 221. The density of states at the Fermi level comes out at 2.267 states/eV per atom. The calculated volume comes out at 29.4 Å³/atom. Its energy above the most stable polymorph in this dataset is 113 meV per atom. The formation energy is -0.051 eV per atom.

***

3.
A plane-wave DFT calculation with PBE was carried out for a relaxed YMg3Ni crystal.

POSCAR file:
```
YMg3Ni
1.0
4.8255 0.0000 0.0000
0.0000 4.8255 0.0000
0.0000 0.0000 4.8255
Y Mg Ni
1 3 1
Direct
0.0000 0.0000 0.0000
0.0000 0.5000 0.5000
0.5000 0.0000 0.5000
0.5000 0.5000 0.0000
0.5000 0.5000 0.5000
```

Values from the calculation:
The calculation puts the total moment at 0.00 Bohr magnetons per cell. As for the symmetry: No. 221. The density of states at the Fermi level comes out at 1.025 states/eV per atom. The calculated volume comes out at 22.5 Å³/atom. Its energy above the most stable polymorph in this dataset is 171 meV per atom. The formation energy is -0.009 eV per atom.

***

4.
A plane-wave DFT calculation with PBE was carried out for a relaxed Y11Mg9Ni4 crystal.

POSCAR file:
```
Y11Mg9Ni4
1.0
7.3238 -11.1183 0.0000
7.3238 11.1183 0.0000
0.0000 0.0000 3.6142
Y Mg Ni
11 9 4
Direct
0.0000 0.0000 0.0000
0.0845 0.4175 0.0000
0.1558 0.8442 0.0000
0.3127 0.3127 0.0000
0.3730 0.6270 0.0000
0.4175 0.0845 0.0000
0.5825 0.9155 0.0000
0.6270 0.3730 0.0000
0.6873 0.6873 0.0000
0.8442 0.1558 0.0000
0.9155 0.5825 0.0000
0.0790 0.2197 0.5000
0.1544 0.6348 0.5000
0.2197 0.0790 0.5000
0.3652 0.8456 0.5000
0.5000 0.5000 0.5000
0.6348 0.1544 0.5000
0.7803 0.9210 0.5000
0.8456 0.3652 0.5000
0.9210 0.7803 0.5000
0.2529 0.4511 0.5000
0.4511 0.2529 0.5000
0.5489 0.7471 0.5000
0.7471 0.5489 0.5000
```

Values from the calculation:
The calculation puts the total moment at 0.60 Bohr magnetons per cell. As for the symmetry: No. 65. The density of states at the Fermi level comes out at 0.962 states/eV per atom. The calculated volume comes out at 24.5 Å³/atom. The formation energy is -0.229 eV per atom.

***

5.
A plane-wave DFT calculation with PBE was carried out for a relaxed YMg14Ni crystal.

POSCAR file:
```
YMg14Ni
1.0
6.3813 0.0000 0.0000
-3.1907 5.5264 0.0000
0.0000 0.0000 10.1690
Y Mg Ni
1 14 1
Direct
0.0000 0.0000 0.0000
0.0137 0.5069 0.0000
0.1602 0.3205 0.2698
0.1602 0.3205 0.7302
0.1602 0.8398 0.2698
0.1602 0.8398 0.7302
0.4931 0.5069 0.0000
0.4931 0.9863 0.0000
0.5049 0.0098 0.5000
0.5049 0.4951 0.5000
0.6667 0.3333 0.2376
0.6667 0.3333 0.7624
0.6795 0.8398 0.2698
0.6795 0.8398 0.7302
0.9902 0.4951 0.5000
0.0000 0.0000 0.5000
```

Values from the calculation:
The calculation puts the total moment at 0.00 Bohr magnetons per cell. As for the symmetry: No. 187. The density of states at the Fermi level comes out at 0.598 states/eV per atom. The calculated volume comes out at 22.4 Å³/atom. Its energy above the most stable polymorph in this dataset is 20 meV per atom. The formation energy is 0.018 eV per atom.

***

6.
A plane-wave DFT calculation with PBE was carried out for a relaxed Y12MgNi6 crystal.

POSCAR file:
```
Y12MgNi6
1.0
-4.8961 4.8961 4.8961
4.8961 -4.8961 4.8961
4.8961 4.8961 -4.8961
Y Mg Ni
12 1 6
Direct
0.1172 0.3046 0.8126
0.1874 0.4920 0.3046
0.1874 0.8828 0.6954
0.3046 0.1874 0.4920
0.3046 0.8126 0.1172
0.4920 0.3046 0.1874
0.5080 0.6954 0.8126
0.6954 0.1874 0.8828
0.6954 0.8126 0.5080
0.8126 0.1172 0.3046
0.8126 0.5080 0.6954
0.8828 0.6954 0.1874
0.0000 0.0000 0.0000
0.1216 0.5000 0.6216
0.3784 0.8784 0.5000
0.5000 0.3784 0.8784
0.5000 0.6216 0.1216
0.6216 0.1216 0.5000
0.8784 0.5000 0.3784
```

Values from the calculation:
The calculation puts the total moment at 0.00 Bohr magnetons per cell. As for the symmetry: No. 204. The density of states at the Fermi level comes out at 1.410 states/eV per atom. The calculated volume comes out at 24.7 Å³/atom. The formation energy is -0.289 eV per atom.

***

7.
A plane-wave DFT calculation with PBE was carried out for a relaxed YMgNi crystal.

POSCAR file:
```
YMgNi
1.0
3.8940 0.0000 0.0000
-1.9470 3.3723 0.0000
0.0000 0.0000 5.2856
Y Mg Ni
1 1 1
Direct
0.0000 0.0000 0.0000
0.6667 0.3333 0.4892
0.3333 0.6667 0.7071
```

Values from the calculation:
The calculation puts the total moment at 0.00 Bohr magnetons per cell. As for the symmetry: No. 156. The density of states at the Fermi level comes out at 0.914 states/eV per atom. The calculated volume comes out at 23.1 Å³/atom. The formation energy is -0.031 eV per atom.

***

8.
A plane-wave DFT calculation with PBE was carried out for a relaxed YMg2Ni crystal.

POSCAR file:
```
YMg2Ni
1.0
5.6681 0.0000 0.0000
0.0000 10.8875 0.0000
-1.6321 0.0000 2.7722
Y Mg Ni
2 4 2
Direct
0.0000 0.0000 0.0000
0.5000 0.5000 0.0000
0.2500 0.2500 0.5000
0.2500 0.7500 0.5000
0.7500 0.2500 0.5000
0.7500 0.7500 0.5000
0.0000 0.5000 0.0000
0.5000 0.0000 0.0000
```

Values from the calculation:
The calculation puts the total moment at 0.00 Bohr magnetons per cell. As for the symmetry: No. 12. The density of states at the Fermi level comes out at 0.595 states/eV per atom. The calculated volume comes out at 21.4 Å³/atom. The formation energy is 0.111 eV per atom.

***

9.
A plane-wave DFT calculation with PBE was carried out for a relaxed YMg2Ni crystal.

POSCAR file:
```
YMg2Ni
1.0
9.7690 0.0000 0.0000
0.0000 3.8496 0.0000
-3.1379 0.0000 4.6700
Y Mg Ni
2 4 2
Direct
0.0000 0.0000 0.0000
0.5000 0.5000 0.0000
0.0955 0.5000 0.6229
0.3103 0.5000 0.3211
0.5955 0.0000 0.6229
0.8103 0.0000 0.3211
0.2809 0.0000 0.6088
0.7809 0.5000 0.6088
```

Values from the calculation:
The calculation puts the total moment at 0.00 Bohr magnetons per cell. As for the symmetry: No. 8. The density of states at the Fermi level comes out at 0.638 states/eV per atom. The calculated volume comes out at 22.0 Å³/atom. The formation energy is -0.090 eV per atom.

***

10.
A plane-wave DFT calculation with PBE was carried out for a relaxed YMg2Ni crystal.

POSCAR file:
```
YMg2Ni
1.0
3.2555 0.0000 0.0000
0.0000 3.2733 0.0000
0.0000 0.0000 7.7168
Y Mg Ni
1 2 1
Direct
0.0000 0.0000 0.0000
0.5000 0.5000 0.3163
0.5000 0.5000 0.6837
0.0000 0.0000 0.5000
```

Values from the calculation:
The calculation puts the total moment at 0.22 Bohr magnetons per cell. As for the symmetry: No. 47. The density of states at the Fermi level comes out at 0.966 states/eV per atom. The calculated volume comes out at 20.6 Å³/atom. The formation energy is -0.046 eV per atom.

***

11.
A plane-wave DFT calculation with PBE was carried out for a relaxed YMg2Ni crystal.

POSCAR file:
```
YMg2Ni
1.0
5.6891 0.0000 0.0000
0.0000 9.6496 0.0000
0.0000 0.0000 3.1177
Y Mg Ni
2 4 2
Direct
0.0000 0.0000 0.0000
0.5000 0.5000 0.0000
0.2500 0.2500 0.5000
0.2500 0.7500 0.5000
0.7500 0.2500 0.5000
0.7500 0.7500 0.5000
0.0000 0.5000 0.0000
0.5000 0.0000 0.0000
```

Values from the calculation:
The calculation puts the total moment at 0.00 Bohr magnetons per cell. As for the symmetry: No. 65. The density of states at the Fermi level comes out at 0.528 states/eV per atom. The calculated volume comes out at 21.4 Å³/atom. The formation energy is 0.188 eV per atom.

***

12.
A plane-wave DFT calculation with PBE was carried out for a relaxed Y3MgNi crystal.

POSCAR file:
```
Y3MgNi
1.0
6.7755 0.0000 0.0000
0.0000 5.0549 0.0000
-0.6865 0.0000 7.6660
Y Mg Ni
6 2 2
Direct
0.0000 0.0000 0.0000
0.0477 0.5000 0.6875
0.2427 0.0000 0.4049
0.4662 0.0000 0.8117
0.6944 0.5000 0.0909
0.7635 0.0000 0.4134
0.2484 0.5000 0.1279
0.5380 0.5000 0.5484
0.4624 0.0000 0.1383
0.9673 0.5000 0.3514
```

Values from the calculation:
The calculation puts the total moment at 0.00 Bohr magnetons per cell. As for the symmetry: No. 6. The density of states at the Fermi level comes out at 0.969 states/eV per atom. The calculated volume comes out at 26.3 Å³/atom. Its energy above the most stable polymorph in this dataset is 48 meV per atom. The formation energy is -0.115 eV per atom.